The following is a PBE with a Hubbard U calculation of a geometry-optimized Rb2FeSe2O6 structure, from Alexandria via LeMat-Bulk.

Summary:
Total moment ... 4.030 μB/f.u.
Mass density ... 4197 kg/m³
Space group ... C2/m
Uncorrected energy ... -57.660 eV/cell
DOS at the Fermi energy ... 0.0 states/eV/f.u.

```
11
Lattice="5.949 0.000 0.000 -2.975 4.721 -0.018 0.000 -2.657 6.781" Properties=species:S:1:pos:R:3 pbc="T T T"
Se 0.000 0.209 1.714
O 2.975 0.807 3.699
O 0.000 1.257 3.064
Rb 0.000 0.531 5.786
Se 2.975 1.856 5.049
O 1.595 3.873 1.849
O 1.379 -1.808 4.914
Rb 2.975 1.534 0.978
O 4.570 -1.808 4.914
Fe 2.975 -1.328 3.391
O -1.595 3.873 1.849
```